1.
NbZn2Tc | PBE | relaxed

Cell lengths 6.2243, 6.2243, 6.2243 Å; angles 90.00, 90.00, 90.00 degrees
With the nearest neighbours (Å) after each atom.
Space group Fm-3m (No. 225)
Symmetry-distinct sites (fractional):
Nb (0.0000, 0.0000, 0.0000)  8 Zn 2.70
Zn (0.2500, 0.2500, 0.2500)  4 Nb 2.70, 4 Tc 2.70
Tc (0.0000, 0.0000, 0.5000)  8 Zn 2.70

Output
* energy of formation: 0.1573 eV/atom


2.
BaMgP2 | PBE | relaxed

Cell lengths 4.3339, 4.3339, 10.4935 Å; angles 90.00, 90.00, 90.00 degrees
With the nearest neighbours (Å) after each atom.
Space group I-4m2 (No. 119)
Symmetry-distinct sites (fractional):
Ba (0.0000, 0.0000, 0.0000)  8 P 3.06-3.40, 4 Mg 3.40
Mg (0.0000, 0.5000, 0.7500)  8 P 3.06-3.40, 4 Ba 3.40
P (0.0000, 0.0000, 0.5000)  4 Ba 3.06, 4 Mg 3.40, 4 P 3.40
P (0.0000, 0.5000, 0.2500)  4 Mg 3.06, 4 Ba 3.40, 4 P 3.40

Output
* energy of formation: -0.0924 eV/atom


3.
RbMnB2N | PBE | relaxed

Cell lengths 3.4481, 3.4481, 5.0222 Å; angles 90.00, 90.00, 90.00 degrees
With the nearest neighbours (Å) after each atom.
Space group P4/mmm (No. 123)
Symmetry-distinct sites (fractional):
Rb (0.0000, 0.0000, 0.0000)  4 Mn 2.44, 2 N 2.51
Mn (0.5000, 0.5000, 0.0000)  4 Rb 2.44
B (0.0000, 0.5000, 0.5000)  2 N 1.72
N (0.0000, 0.0000, 0.5000)  4 B 1.72

Output
* energy relative to the elements, uncorrected: 2445 meV per atom


| no. | density of states at the Fermi level (states/eV per atom) | uncorrected energy (Ry per atom) |
| --- | --- | --- |
| 1 | 1.289 | -0.41076 |
| 2 | 0.372 | -0.27023 |
| 3 | 1.156 | -0.28800 |